Compound: Mn6Fe3Co2
Source: Alexandria via LeMat-Bulk
Functional: GGA-PBE
Structure: optimized geometry

Cell lengths 4.230, 4.230, 8.155 Å; angles 94.60, 94.60, 119.49 degrees
Positions (direct):
Mn: 0.074 0.410 0.249
Mn: 0.254 0.254 0.745
Mn: 0.410 0.074 0.249
Mn: 0.590 0.926 0.751
Mn: 0.746 0.746 0.255
Mn: 0.926 0.590 0.751
Fe: 0.000 0.000 0.000
Fe: 0.331 0.669 0.000
Fe: 0.669 0.331 0.000
Co: 0.171 0.829 0.500
Co: 0.829 0.171 0.500

Output
- E (eV per cell) = -91.43
- magnetization (μB/cell) = 4.27
- N(E_F) (states/eV per cell) = 14.06